[1]
A plane-wave DFT calculation with PBE was carried out for crystalline TbPmAs2 at its relaxed geometry.

```
TbPmAs2
1.0
4.1905 0.0125 0.0151
2.0836 3.6357 0.0151
2.0691 1.2032 6.8455
As Tb Pm
2 1 1
Cartesian
2.0855 1.2127 1.6777
6.2576 3.6387 5.1980
0.0000 0.0000 0.0000
4.1716 2.4257 3.4379
```

## Properties
D(E_F), states/eV/f.u.: 0.45
SG: R-3m
Energy of formation from the pure elements, meV/atom: -1532
Energy above the lowest structure with this stoichiometry, kJ per mole of atoms: 0.0
Crystal system: trigonal
Uncorrected energy, eV per atom: -6.2021



[2]
A plane-wave DFT calculation with PBE was carried out for crystalline TbPmAs at its relaxed geometry.

```
TbPmAs
1.0
3.7851 0.0000 0.0000
0.0000 3.8102 0.0000
0.0000 1.9051 11.3873
As Tb Pm
2 2 2
Cartesian
2.8388 3.8102 3.3382
0.9463 1.9051 8.0492
2.8388 3.8102 6.7170
0.9463 1.9051 4.6704
0.9463 1.9051 1.5457
2.8388 3.8102 9.8416
```

## Properties
D(E_F), states/eV/f.u.: 3.32
SG: Cmcm
Energy of formation from the pure elements, meV/atom: -688
Energy above the lowest structure with this stoichiometry, kJ per mole of atoms: 16.1
Crystal system: orthorhombic
Uncorrected energy, eV per atom: -5.3646



[3]
A plane-wave DFT calculation with PBE was carried out for crystalline TbPmAs2 at its relaxed geometry.

```
TbPmAs2
1.0
-4.7024 -0.8933 3.4889
2.8260 -4.4722 2.6638
3.1718 6.4640 0.9023
As Tb Pm
4 2 2
Cartesian
1.4239 -2.2176 1.3514
1.1277 1.9091 2.0088
3.6356 1.5267 5.2911
0.1677 -0.8106 5.0462
2.5298 -0.3454 3.3213
-0.9382 -2.6827 3.0763
-1.2344 1.4440 3.7338
0.0000 0.0000 0.0000
```

## Properties
D(E_F), states/eV/f.u.: 0.44
SG: I4_1/amd
Energy of formation from the pure elements, meV/atom: -1531
Energy above the lowest structure with this stoichiometry, kJ per mole of atoms: 0.1
Crystal system: tetragonal
Uncorrected energy, eV per atom: -6.2013



[4]
A plane-wave DFT calculation with PBE was carried out for crystalline TbPmAs2 at its relaxed geometry.

```
TbPmAs2
1.0
3.2352 0.0000 0.0000
0.0000 5.3783 0.0000
0.0000 0.0000 5.3783
As Pm Tb
2 1 1
Cartesian
0.0000 0.0000 2.6891
0.0000 2.6891 0.0000
1.6176 2.6891 2.6891
1.6176 0.0000 0.0000
```

## Properties
D(E_F), states/eV/f.u.: 1.81
SG: P4/mmm
Energy of formation from the pure elements, meV/atom: -1061
Energy above the lowest structure with this stoichiometry, kJ per mole of atoms: 45.4
Crystal system: tetragonal
Uncorrected energy, eV per atom: -5.7314



no.,volume (Å³/atom)
1,26.0
2,27.4
3,26.0
4,23.4